Pm2CdPtO6: optimized geometry, PBE.

Summary:
The value obtained for the raw formation energy is -2.044 eV/atom. For the raw total energy, the calculation gives -199.926 eV for the cell shown.

abc: 5.7964 5.7964 14.6553
angles: 90.00 90.00 120.00
Space group R3 (No. 146, hexagonal axes)
Inequivalent atoms, fractional coordinates:
Pm (0.0000, 0.0000, 0.0000)
Pm (0.0000, 0.0000, 0.4925)
Cd (0.0000, 0.0000, 0.2679)
Pt (0.0000, 0.0000, 0.7828)
O (0.0231, 0.7370, 0.8704)
O (0.0526, 0.3341, 0.3774)

=====

PmCdPtO6: optimized geometry, PBE.

Summary:
The value obtained for the raw formation energy is -1.133 eV/atom. For the raw total energy, the calculation gives -103.302 eV for the cell shown.

abc: 5.7620 5.7620 8.5976
angles: 90.00 90.00 120.00
Space group P-31c (No. 163)
Inequivalent atoms, fractional coordinates:
Pm (0.3333, 0.6667, 0.2500)
Cd (0.0000, 0.0000, 0.0000)
Pt (0.3333, 0.6667, 0.7500)
O (0.0482, 0.3839, 0.6230)

=====

PmCd2PtO6: optimized geometry, PBE.

Summary:
The value obtained for the raw formation energy is -1.373 eV/atom. For the raw total energy, the calculation gives -112.203 eV for the cell shown.

abc: 5.7144 5.7870 9.9738
angles: 90.00 124.71 90.00
Space group P2_1/c (No. 14)
Inequivalent atoms, fractional coordinates:
Pm (0.0000, 0.0000, 0.0000)
Cd (0.2451, 0.0393, 0.7435)
Pt (0.5000, 0.0000, 0.5000)
O (0.1591, 0.0765, 0.2731)
O (0.2575, 0.6672, 0.0522)
O (0.4117, 0.2091, 0.0722)

=====

PmPuCdO6: optimized geometry, PBE.

Summary:
The value obtained for the raw formation energy is -2.330 eV/atom. For the raw total energy, the calculation gives -141.427 eV for the cell shown.

abc: 5.6222 5.6222 10.0543
angles: 90.00 90.00 120.00
Space group P-31c (No. 163)
Inequivalent atoms, fractional coordinates:
Pm (0.0000, 0.0000, 0.0000)
Pu (0.3333, 0.6667, 0.2500)
Cd (0.3333, 0.6667, 0.7500)
O (0.0417, 0.3671, 0.1350)